# 1
Pm4Ga3Hg | GGA-PBE | optimized geometry

## Properties
The energy above the lowest structure with this stoichiometry is 0.0 meV/atom. As for the formation energy: -0.535 eV/atom.

Lattice parameters (Å, degrees): 10.495 7.445 5.247 90.00 90.00 90.00
Sites, in units of the cell vectors:
Pm 0.000 0.244 0.000
Pm 0.000 0.756 0.000
Pm 0.250 0.244 0.499
Pm 0.250 0.756 0.499
Pm 0.500 0.244 0.000
Pm 0.500 0.756 0.000
Pm 0.750 0.244 0.501
Pm 0.750 0.756 0.501
Ga 0.000 0.000 0.500
Ga 0.250 0.000 0.998
Ga 0.250 0.500 0.999
Ga 0.500 0.000 0.500
Ga 0.750 0.000 0.002
Ga 0.750 0.500 0.001
Hg 0.000 0.500 0.500
Hg 0.500 0.500 0.500

---

# 2
Pm2Ga3Hg2 | GGA-PBE | optimized geometry

## Properties
As for the formation energy: -0.463 eV/atom.

Lattice parameters (Å, degrees): 6.014 6.014 6.788 109.11 109.11 44.52
Sites, in units of the cell vectors:
Pm 0.139 0.139 0.268
Pm 0.861 0.861 0.732
Ga 0.416 0.416 0.086
Ga 0.500 0.500 0.500
Ga 0.584 0.584 0.914
Hg 0.166 0.166 0.756
Hg 0.834 0.834 0.244

---

# 3
Pm3Ga8Hg3 | GGA-PBE | optimized geometry

## Properties
As for the formation energy: -0.410 eV/atom.

Lattice parameters (Å, degrees): 8.714 8.714 8.714 151.15 106.65 80.65
Sites, in units of the cell vectors:
Pm 0.000 0.000 0.000
Pm 0.316 0.316 0.000
Pm 0.684 0.684 0.000
Ga 0.041 0.663 0.378
Ga 0.112 0.844 0.268
Ga 0.285 0.663 0.622
Ga 0.424 0.156 0.268
Ga 0.576 0.844 0.732
Ga 0.715 0.337 0.378
Ga 0.888 0.156 0.732
Ga 0.959 0.337 0.622
Hg 0.282 0.500 0.782
Hg 0.500 0.000 0.500
Hg 0.718 0.500 0.218

---

# 4
Pm6GaHg5 | GGA-PBE | optimized geometry

## Properties
The energy above the lowest structure with this stoichiometry is 0.0 meV/atom. As for the formation energy: -0.484 eV/atom.

Lattice parameters (Å, degrees): 5.342 7.634 8.463 90.00 108.47 90.00
Sites, in units of the cell vectors:
Pm 0.000 0.242 0.000
Pm 0.000 0.758 0.000
Pm 0.338 0.246 0.674
Pm 0.338 0.754 0.674
Pm 0.662 0.246 0.326
Pm 0.662 0.754 0.326
Ga 0.500 0.000 0.000
Hg 0.167 0.500 0.336
Hg 0.168 0.000 0.339
Hg 0.500 0.500 0.000
Hg 0.832 0.000 0.661
Hg 0.833 0.500 0.664

---

# 5
PmGa2Hg | GGA-PBE | optimized geometry

## Properties
The energy above the lowest structure with this stoichiometry is 0.0 meV/atom. As for the formation energy: -0.438 eV/atom.

Lattice parameters (Å, degrees): 4.521 4.521 4.348 90.00 90.00 90.00
Sites, in units of the cell vectors:
Pm 0.000 0.000 0.000
Ga 0.000 0.500 0.500
Ga 0.500 0.000 0.500
Hg 0.500 0.500 0.000

---

# 6
Pm3Ga2Hg | GGA-PBE | optimized geometry

## Properties
As for the formation energy: -0.536 eV/atom.

Lattice parameters (Å, degrees): 3.668 3.668 11.461 90.00 90.00 90.00
Sites, in units of the cell vectors:
Pm 0.000 0.000 0.000
Pm 0.000 0.000 0.321
Pm 0.000 0.000 0.679
Ga 0.500 0.500 0.164
Ga 0.500 0.500 0.836
Hg 0.500 0.500 0.500

---

# 7
Pm2Ga2Hg3 | GGA-PBE | optimized geometry

## Properties
The energy above the lowest structure with this stoichiometry is 22.4 meV/atom. As for the formation energy: -0.413 eV/atom.

Lattice parameters (Å, degrees): 11.050 11.050 3.690 90.00 90.00 157.72
Sites, in units of the cell vectors:
Pm 0.159 0.841 0.000
Pm 0.841 0.159 0.000
Ga 0.282 0.718 0.500
Ga 0.718 0.282 0.500
Hg 0.000 0.000 0.000
Hg 0.427 0.573 0.500
Hg 0.573 0.427 0.500

---

# 8
PmGa2Hg | GGA-PBE | optimized geometry

## Properties
The energy above the lowest structure with this stoichiometry is 140.0 meV/atom. As for the formation energy: -0.298 eV/atom.

Lattice parameters (Å, degrees): 5.737 5.737 3.128 90.00 90.00 118.26
Sites, in units of the cell vectors:
Pm 0.000 0.000 0.000
Ga 0.000 0.500 0.500
Ga 0.500 0.000 0.500
Hg 0.500 0.500 0.500

---

# 9
Pm4Ga12Hg | GGA-PBE | optimized geometry

## Properties
As for the formation energy: -0.506 eV/atom.

Lattice parameters (Å, degrees): 7.707 7.707 7.707 109.47 109.47 109.47
Sites, in units of the cell vectors:
Pm 0.000 0.000 0.500
Pm 0.000 0.500 0.000
Pm 0.500 0.000 0.000
Pm 0.500 0.500 0.500
Ga 0.000 0.314 0.314
Ga 0.000 0.686 0.686
Ga 0.250 0.500 0.750
Ga 0.250 0.750 0.500
Ga 0.314 0.000 0.314
Ga 0.314 0.314 0.000
Ga 0.500 0.250 0.750
Ga 0.500 0.750 0.250
Ga 0.686 0.000 0.686
Ga 0.686 0.686 0.000
Ga 0.750 0.250 0.500
Ga 0.750 0.500 0.250
Hg 0.000 0.000 0.000

---

# 10
Pm6Ga2Hg | GGA-PBE | optimized geometry

## Properties
The energy above the lowest structure with this stoichiometry is 0.0 meV/atom. As for the formation energy: -0.368 eV/atom.

Lattice parameters (Å, degrees): 8.839 8.839 8.839 111.36 111.29 105.83
Sites, in units of the cell vectors:
Pm 0.032 0.824 0.207
Pm 0.246 0.546 0.300
Pm 0.246 0.946 0.700
Pm 0.275 0.321 0.596
Pm 0.275 0.679 0.953
Pm 0.383 0.176 0.207
Pm 0.617 0.824 0.793
Pm 0.725 0.321 0.047
Pm 0.725 0.679 0.404
Pm 0.754 0.054 0.300
Pm 0.754 0.454 0.700
Pm 0.968 0.176 0.793
Ga 0.000 0.142 0.142
Ga 0.000 0.858 0.858
Ga 0.379 0.379 0.000
Ga 0.621 0.621 0.000
Hg 0.000 0.500 0.500
Hg 0.500 0.000 0.500

---

# 11
Pm3GaHg5 | GGA-PBE | optimized geometry

## Properties
As for the formation energy: -0.445 eV/atom.

Lattice parameters (Å, degrees): 9.062 9.062 6.421 90.00 90.00 120.00
Sites, in units of the cell vectors:
Pm 0.000 0.312 0.250
Pm 0.000 0.688 0.750
Pm 0.312 0.000 0.250
Pm 0.312 0.312 0.750
Pm 0.688 0.000 0.750
Pm 0.688 0.688 0.250
Ga 0.000 0.000 0.000
Ga 0.000 0.000 0.500
Hg 0.000 0.351 0.750
Hg 0.000 0.649 0.250
Hg 0.333 0.667 0.000
Hg 0.333 0.667 0.500
Hg 0.351 0.000 0.750
Hg 0.351 0.351 0.250
Hg 0.649 0.000 0.250
Hg 0.649 0.649 0.750
Hg 0.667 0.333 0.000
Hg 0.667 0.333 0.500

---

# 12
Pm6Ga2Hg | GGA-PBE | optimized geometry

## Properties
The energy above the lowest structure with this stoichiometry is 176.0 meV/atom. As for the formation energy: -0.192 eV/atom.

Lattice parameters (Å, degrees): 8.875 8.875 5.094 106.60 106.60 48.51
Sites, in units of the cell vectors:
Pm 0.078 0.583 0.331
Pm 0.241 0.759 0.000
Pm 0.417 0.922 0.669
Pm 0.583 0.078 0.331
Pm 0.759 0.241 0.000
Pm 0.922 0.417 0.669
Ga 0.168 0.168 0.168
Ga 0.832 0.832 0.832
Hg 0.500 0.500 0.500

---

# 13
PmGa2Hg | GGA-PBE | optimized geometry

## Properties
The energy above the lowest structure with this stoichiometry is 178.5 meV/atom. As for the formation energy: -0.260 eV/atom.

Lattice parameters (Å, degrees): 5.033 5.033 5.033 60.00 60.00 60.00
Sites, in units of the cell vectors:
Pm 0.000 0.000 0.000
Ga 0.250 0.250 0.250
Ga 0.750 0.750 0.750
Hg 0.500 0.500 0.500

---

# 14
Pm5Ga2Hg | GGA-PBE | optimized geometry

## Properties
As for the formation energy: -0.428 eV/atom.

Lattice parameters (Å, degrees): 9.380 9.380 9.380 131.17 131.17 71.54
Sites, in units of the cell vectors:
Pm 0.000 0.000 0.000
Pm 0.026 0.526 0.843
Pm 0.183 0.026 0.500
Pm 0.317 0.817 0.843
Pm 0.474 0.317 0.500
Pm 0.500 0.500 0.000
Pm 0.526 0.683 0.500
Pm 0.683 0.183 0.157
Pm 0.817 0.974 0.500
Pm 0.974 0.474 0.157
Ga 0.119 0.381 0.500
Ga 0.381 0.881 0.262
Ga 0.619 0.119 0.738
Ga 0.881 0.619 0.500
Hg 0.250 0.250 0.000
Hg 0.750 0.750 0.000

---

# 15
Pm4GaHg3 | GGA-PBE | optimized geometry

## Properties
As for the formation energy: -0.494 eV/atom.

Lattice parameters (Å, degrees): 3.752 3.752 15.313 90.00 90.00 90.00
Sites, in units of the cell vectors:
Pm 0.000 0.000 0.115
Pm 0.000 0.000 0.372
Pm 0.000 0.000 0.628
Pm 0.000 0.000 0.885
Ga 0.500 0.500 0.000
Hg 0.500 0.500 0.244
Hg 0.500 0.500 0.500
Hg 0.500 0.500 0.756

---

# 16
Pm6GaHg5 | GGA-PBE | optimized geometry

## Properties
The energy above the lowest structure with this stoichiometry is 154.3 meV/atom. As for the formation energy: -0.329 eV/atom.

Lattice parameters (Å, degrees): 6.753 6.753 9.302 96.82 96.82 119.53
Sites, in units of the cell vectors:
Pm 0.082 0.409 0.741
Pm 0.230 0.230 0.217
Pm 0.409 0.082 0.741
Pm 0.591 0.918 0.259
Pm 0.770 0.770 0.783
Pm 0.918 0.591 0.259
Ga 0.500 0.500 0.000
Hg 0.000 0.000 0.500
Hg 0.197 0.803 0.000
Hg 0.362 0.638 0.500
Hg 0.638 0.362 0.500
Hg 0.803 0.197 0.000

---

# 17
Pm2Ga3Hg | GGA-PBE | optimized geometry

## Properties
The energy above the lowest structure with this stoichiometry is 4.5 meV/atom. As for the formation energy: -0.576 eV/atom.

Lattice parameters (Å, degrees): 8.346 8.346 8.346 151.72 148.90 42.53
Sites, in units of the cell vectors:
Pm 0.000 0.000 0.000
Pm 0.775 0.275 0.500
Ga 0.185 0.685 0.500
Ga 0.344 0.844 0.500
Ga 0.430 0.430 0.000
Hg 0.598 0.598 0.000

---

# 18
Pm4GaHg | GGA-PBE | optimized geometry

## Properties
The energy above the lowest structure with this stoichiometry is 10.8 meV/atom. As for the formation energy: -0.166 eV/atom.

Lattice parameters (Å, degrees): 5.096 5.096 7.428 90.00 90.00 90.00
Sites, in units of the cell vectors:
Pm 0.000 0.500 0.242
Pm 0.000 0.500 0.758
Pm 0.500 0.000 0.242
Pm 0.500 0.000 0.758
Ga 0.000 0.000 0.000
Hg 0.500 0.500 0.500

---

# 19
Pm3Ga2Hg2 | GGA-PBE | optimized geometry

## Properties
As for the formation energy: -0.526 eV/atom.

Lattice parameters (Å, degrees): 11.548 11.548 3.685 90.00 90.00 158.78
Sites, in units of the cell vectors:
Pm 0.000 0.000 0.000
Pm 0.165 0.835 0.000
Pm 0.835 0.165 0.000
Ga 0.281 0.719 0.500
Ga 0.719 0.281 0.500
Hg 0.420 0.580 0.500
Hg 0.580 0.420 0.500

---

# 20
Pm4Ga2Hg5 | GGA-PBE | optimized geometry

## Properties
As for the formation energy: -0.458 eV/atom.

Lattice parameters (Å, degrees): 7.881 3.877 9.415 90.00 90.72 90.00
Sites, in units of the cell vectors:
Pm 0.199 0.000 0.359
Pm 0.248 0.000 0.912
Pm 0.752 0.000 0.088
Pm 0.801 0.000 0.641
Ga 0.063 0.500 0.125
Ga 0.937 0.500 0.875
Hg 0.144 0.500 0.633
Hg 0.432 0.500 0.162
Hg 0.500 0.500 0.500
Hg 0.568 0.500 0.838
Hg 0.856 0.500 0.367

---

# 21
Pm12Ga2Hg5 | GGA-PBE | optimized geometry

## Properties
As for the formation energy: -0.237 eV/atom.

Lattice parameters (Å, degrees): 9.430 9.430 9.173 91.57 91.57 44.52
Sites, in units of the cell vectors:
Pm 0.009 0.009 0.303
Pm 0.088 0.589 0.067
Pm 0.099 0.598 0.480
Pm 0.402 0.901 0.520
Pm 0.411 0.912 0.933
Pm 0.466 0.466 0.813
Pm 0.534 0.534 0.187
Pm 0.589 0.088 0.067
Pm 0.598 0.099 0.480
Pm 0.901 0.402 0.520
Pm 0.912 0.411 0.933
Pm 0.991 0.991 0.697
Ga 0.172 0.828 0.000
Ga 0.828 0.172 0.000
Hg 0.208 0.208 0.244
Hg 0.277 0.277 0.747
Hg 0.500 0.500 0.500
Hg 0.723 0.723 0.253
Hg 0.792 0.792 0.756

---

# 22
Pm8Ga2Hg | GGA-PBE | optimized geometry

## Properties
As for the formation energy: -0.263 eV/atom.

Lattice parameters (Å, degrees): 9.384 9.384 7.538 105.31 105.31 30.96
Sites, in units of the cell vectors:
Pm 0.032 0.032 0.252
Pm 0.195 0.195 0.800
Pm 0.331 0.331 0.551
Pm 0.406 0.406 0.038
Pm 0.594 0.594 0.962
Pm 0.669 0.669 0.449
Pm 0.805 0.805 0.200
Pm 0.968 0.968 0.748
Ga 0.196 0.196 0.204
Ga 0.804 0.804 0.796
Hg 0.500 0.500 0.500